1.
A geometry-optimized Fe3Rh structure, computed with GGA-PBE.

Summary:
- Formation energy: 0.091 eV per atom
- Crystal system: orthorhombic
- Magnetization: 1.6 μB per formula unit

Lattice parameters (Å, degrees): 5.210 5.210 4.114 90.00 90.00 121.48
Last column: magnetic moment on the atom in μB.
Atoms (fractional coordinates):
Rh 0.587 0.413 0.750  -0.01
Fe 0.587 0.928 0.750  1.81
Fe 0.928 0.587 0.250  1.81
Fe 0.413 0.072 0.250  1.81
Fe 0.080 0.920 0.750  -1.99
Fe 0.072 0.413 0.750  1.81
Fe 0.920 0.080 0.250  -1.99
Rh 0.413 0.587 0.250  -0.01

2.
A geometry-optimized FeRh structure, computed with GGA-PBE.

Summary:
- Formation energy: 0.042 eV per atom
- Crystal system: triclinic
- Magnetization: 3.3 μB per formula unit

Lattice parameters (Å, degrees): 2.665 5.292 6.197 76.03 101.14 107.52
Last column: magnetic moment on the atom in μB.
Atoms (fractional coordinates):
Fe 0.918 0.997 0.010  2.84
Rh 0.540 0.477 0.992  0.53
Rh 0.333 0.667 0.333  0.53
Rh 0.126 0.856 0.674  0.53
Fe 0.749 0.336 0.657  2.84
Fe 0.833 0.167 0.333  2.76

The records above give, respectively, total energy values of -32.38; -15.73 eV per formula unit.